(1)
NdZnAg4 | GGA-PBE | optimized geometry

Cell lengths 4.0337, 7.4322, 8.2078 Å; angles 90.00, 90.00, 90.00 degrees
Last column: nearest neighbours and their distance in Å.
Fractional coordinates of all 12 atoms:
Ag 0.5000 0.6874 0.4469  2 Zn 2.70, 1 Ag 2.92
Ag 0.0000 0.0000 0.0000  2 Zn 2.57
Ag 0.5000 0.3126 0.5531  2 Zn 2.70, 1 Ag 2.92
Ag 0.0000 0.0000 0.5000  2 Zn 2.57
Ag 0.5000 0.6874 0.0531  2 Zn 2.70, 1 Ag 2.92
Ag 0.5000 0.9439 0.7500  2 Zn 2.81, 6 Ag 2.91-3.13
Ag 0.5000 0.0561 0.2500  2 Zn 2.81, 6 Ag 2.91-3.13
Ag 0.5000 0.3126 0.9469  2 Zn 2.70, 1 Ag 2.92
Nd 0.0000 0.3938 0.2500  1 Zn 2.96, 6 Ag 3.22-3.26
Nd 0.0000 0.6062 0.7500  1 Zn 2.96, 6 Ag 3.22-3.26
Zn 0.0000 0.2073 0.7500  8 Ag 2.57-2.81
Zn 0.0000 0.7927 0.2500  8 Ag 2.57-2.81

Values from the calculation:
Crystal system: orthorhombic
Polymorph energy (0 for the lowest one), eV/atom: 0.0000
Electronic total energy, eV/atom: -3.04
DOS(E_F), states/eV/atom: 0.60

***

(2)
NdZn9Ag2 | GGA-PBE | optimized geometry

Cell lengths 5.2714, 5.2714, 8.8837 Å; angles 72.74, 72.74, 60.00 degrees
Last column: nearest neighbours and their distance in Å.
Fractional coordinates of all 12 atoms:
Zn 0.4096 0.4096 0.2616  7 Zn 2.52-2.69
Zn 0.5000 0.5000 0.5000  6 Zn 2.52
Zn 0.0809 0.5904 0.7384  7 Zn 2.52-2.69
Zn 0.4096 0.9191 0.2616  7 Zn 2.52-2.69
Zn 0.6662 0.6662 0.0014  6 Zn 2.65-2.67
Zn 0.9191 0.4096 0.2616  7 Zn 2.52-2.69
Zn 0.3338 0.3338 0.9986  6 Zn 2.65-2.67
Zn 0.5904 0.5904 0.7384  7 Zn 2.52-2.69
Zn 0.5904 0.0809 0.7384  7 Zn 2.52-2.69
Ag 0.1380 0.1380 0.5859  12 Zn 2.93-3.13
Ag 0.8620 0.8620 0.4141  12 Zn 2.93-3.13
Nd 0.0000 0.0000 0.0000  6 Zn 3.04

Values from the calculation:
Crystal system: trigonal
Polymorph energy (0 for the lowest one), eV/atom: 0.0000
Electronic total energy, eV/atom: -1.97
DOS(E_F), states/eV/atom: 0.32